# 1
{
  "formula": "Hg2BO4",
  "functional": "GGA-PBE",
  "state": "optimized geometry",
  "lattice": [[-2.206, 1.312, 1.867], [-1.236, -2.870, 0.557], [3.525, -1.709, 8.063]],
  "species": ["O", "Hg", "O", "O", "Hg", "B", "O"],
  "fractional_positions": [[0.828, 0.828, 0.343], [0.663, 0.663, 0.674], [0.500, 0.000, 0.000], [0.172, 0.172, 0.657], [0.337, 0.337, 0.326], [0.000, 0.000, 0.000], [0.000, 0.500, 0.000]],
  "spacegroup": "No. 139",
  "e_form_raw_ev_per_atom": -0.31,
  "crystal_system": "tetragonal"
}

# 2
{
  "formula": "Hg2BO",
  "functional": "GGA-PBE",
  "state": "optimized geometry",
  "lattice": [[5.722, 0.000, 0.000], [0.000, 5.722, 0.000], [2.861, 2.861, 4.346]],
  "species": ["B", "Hg", "Hg", "O", "Hg", "O", "B", "Hg"],
  "fractional_positions": [[0.250, 0.750, 0.500], [0.875, 0.865, 0.750], [0.135, 0.625, 0.250], [0.750, 0.250, 0.500], [0.375, 0.385, 0.750], [0.000, 0.000, 0.000], [0.500, 0.500, 0.000], [0.615, 0.125, 0.250]],
  "relative_energy_ev_per_fu": 0.000,
  "spacegroup": "No. 122",
  "e_form_raw_ev_per_atom": 0.57,
  "crystal_system": "tetragonal"
}

# 3
{
  "formula": "HgBO3",
  "functional": "GGA-PBE",
  "state": "optimized geometry",
  "lattice": [[-2.580, -1.146, -3.427], [-0.029, -6.091, -1.532], [-3.476, -2.673, 3.496]],
  "species": ["O", "O", "B", "O", "O", "Hg", "B", "Hg", "O", "O"],
  "fractional_positions": [[0.840, 0.599, 0.510], [0.645, 0.306, 0.273], [0.673, 0.236, 0.062], [0.094, 0.551, 0.918], [0.542, 0.846, 0.783], [0.406, 0.783, 0.231], [0.812, 0.668, 0.720], [0.079, 0.121, 0.551], [0.943, 0.058, 0.000], [0.391, 0.353, 0.865]],
  "spacegroup": "No. 2",
  "e_form_raw_ev_per_atom": -1.20,
  "crystal_system": "triclinic"
}

# 4
{
  "formula": "Hg3BO6",
  "functional": "GGA-PBE",
  "state": "optimized geometry",
  "lattice": [[5.937, 0.000, -0.011], [0.000, 5.219, 0.000], [0.018, 0.000, 9.413]],
  "species": ["O", "O", "B", "Hg", "B", "O", "Hg", "O", "O", "Hg", "Hg", "O", "O", "O", "O", "Hg", "Hg", "O", "O", "O"],
  "fractional_positions": [[0.677, 0.314, 0.160], [0.323, 0.686, 0.840], [0.500, 0.500, 0.500], [0.500, 0.500, 0.000], [0.000, 0.000, 0.000], [0.621, 0.298, 0.500], [0.000, 0.500, 0.205], [0.177, 0.187, 0.340], [0.823, 0.814, 0.340], [0.500, 0.000, 0.705], [0.500, 0.000, 0.295], [0.177, 0.186, 0.660], [0.379, 0.702, 0.500], [0.677, 0.313, 0.840], [0.823, 0.813, 0.660], [0.000, 0.000, 0.500], [0.000, 0.500, 0.795], [0.323, 0.687, 0.160], [0.121, 0.202, 0.000], [0.879, 0.798, 0.000]],
  "spacegroup": "No. 58",
  "e_form_raw_ev_per_atom": -0.41,
  "crystal_system": "orthorhombic"
}

# 5
{
  "formula": "HgB3O",
  "functional": "GGA-PBE",
  "state": "optimized geometry",
  "lattice": [[-3.366, 2.541, -0.743], [0.061, -1.128, -4.131], [-2.647, -3.258, 0.850]],
  "species": ["B", "B", "B", "Hg", "O"],
  "fractional_positions": [[0.000, 0.000, 0.500], [0.000, 0.500, 0.000], [0.500, 0.000, 0.000], [0.000, 0.000, 0.000], [0.500, 0.500, 0.500]],
  "relative_energy_ev_per_fu": 3.442,
  "spacegroup": "No. 221",
  "e_form_raw_ev_per_atom": 2.50,
  "crystal_system": "cubic"
}

# 6
{
  "formula": "Hg2BO",
  "functional": "GGA-PBE",
  "state": "optimized geometry",
  "lattice": [[4.073, -1.207, -1.209], [0.978, -4.277, -0.504], [0.709, -1.642, -4.038]],
  "species": ["O", "B", "Hg", "Hg"],
  "fractional_positions": [[0.500, 0.500, 0.500], [0.000, 0.000, 0.000], [0.750, 0.750, 0.750], [0.250, 0.250, 0.250]],
  "relative_energy_ev_per_fu": 2.043,
  "spacegroup": "No. 225",
  "e_form_raw_ev_per_atom": 1.08,
  "crystal_system": "cubic"
}

# 7
{
  "formula": "HgB2O",
  "functional": "GGA-PBE",
  "state": "optimized geometry",
  "lattice": [[3.353, 1.567, 1.767], [-0.315, 2.052, 3.538], [1.454, -1.648, 3.463]],
  "species": ["Hg", "O", "B", "B"],
  "fractional_positions": [[0.500, 0.500, 0.500], [0.000, 0.000, 0.000], [0.250, 0.250, 0.250], [0.750, 0.750, 0.750]],
  "relative_energy_ev_per_fu": 4.549,
  "spacegroup": "No. 225",
  "e_form_raw_ev_per_atom": 1.87,
  "crystal_system": "cubic"
}

# 8
{
  "formula": "HgB3O",
  "functional": "GGA-PBE",
  "state": "optimized geometry",
  "lattice": [[3.779, 0.000, 0.000], [0.000, 3.779, 0.000], [0.000, 0.000, 3.779]],
  "species": ["Hg", "B", "O", "B", "B"],
  "fractional_positions": [[0.500, 0.500, 0.500], [0.000, 0.000, 0.500], [0.000, 0.000, 0.000], [0.000, 0.500, 0.000], [0.500, 0.000, 0.000]],
  "relative_energy_ev_per_fu": 0.000,
  "spacegroup": "No. 221",
  "e_form_raw_ev_per_atom": 1.81,
  "crystal_system": "cubic"
}

# 9
{
  "formula": "HgBO3",
  "functional": "GGA-PBE",
  "state": "optimized geometry",
  "lattice": [[-2.368, 3.349, -0.143], [-2.071, -1.599, -3.162], [-2.636, -1.753, 2.612]],
  "species": ["Hg", "O", "O", "B", "O"],
  "fractional_positions": [[0.000, 0.000, 0.000], [0.000, 0.500, 0.000], [0.500, 0.000, 0.000], [0.500, 0.500, 0.500], [0.000, 0.000, 0.500]],
  "spacegroup": "No. 221",
  "e_form_raw_ev_per_atom": 1.54,
  "crystal_system": "cubic"
}

# 10
{
  "formula": "HgBO3",
  "functional": "GGA-PBE",
  "state": "optimized geometry",
  "lattice": [[3.512, 0.000, 0.000], [0.000, 3.512, 0.000], [0.000, 0.000, 3.512]],
  "species": ["O", "O", "Hg", "B", "O"],
  "fractional_positions": [[0.000, 0.500, 0.000], [0.500, 0.000, 0.000], [0.500, 0.500, 0.500], [0.000, 0.000, 0.000], [0.000, 0.000, 0.500]],
  "spacegroup": "No. 221",
  "e_form_raw_ev_per_atom": -0.11,
  "crystal_system": "cubic"
}

# 11
{
  "formula": "HgBOsO6",
  "functional": "GGA-PBE",
  "state": "optimized geometry",
  "lattice": [[4.964, 0.000, -0.002], [2.482, 4.298, -0.004], [0.000, -0.002, 5.245]],
  "species": ["B", "O", "O", "O", "Hg", "O", "O", "O", "Os"],
  "fractional_positions": [[0.667, 0.667, 0.689], [0.659, 0.031, 0.280], [0.603, 0.424, 0.700], [0.423, 0.974, 0.700], [0.000, 0.000, 0.934], [0.031, 0.309, 0.281], [0.973, 0.604, 0.700], [0.310, 0.659, 0.281], [0.333, 0.333, 0.437]],
  "spacegroup": "No. 143",
  "e_form_raw_ev_per_atom": -1.10,
  "crystal_system": "trigonal"
}

# 12
{
  "formula": "HgBPO2",
  "functional": "GGA-PBE",
  "state": "optimized geometry",
  "lattice": [[4.012, 0.000, 0.000], [0.000, 4.012, 0.000], [0.000, 0.000, 5.452]],
  "species": ["B", "P", "O", "Hg", "O"],
  "fractional_positions": [[0.500, 0.500, 0.500], [0.000, 0.000, 0.500], [0.500, 0.000, 0.000], [0.000, 0.000, 0.000], [0.000, 0.500, 0.000]],
  "relative_energy_ev_per_fu": 6.724,
  "spacegroup": "No. 123",
  "e_form_raw_ev_per_atom": 1.61,
  "crystal_system": "tetragonal"
}

# 13
{
  "formula": "HgBP2O8",
  "functional": "GGA-PBE",
  "state": "optimized geometry",
  "lattice": [[-1.508, -1.426, 4.418], [2.950, -2.876, -2.618], [5.116, 2.827, 2.659]],
  "species": ["P", "O", "O", "O", "O", "O", "B", "O", "O", "Hg", "P", "O"],
  "fractional_positions": [[0.333, 0.667, 0.769], [0.841, 0.159, 0.159], [0.159, 0.318, 0.841], [0.841, 0.682, 0.159], [0.333, 0.667, 0.530], [0.159, 0.841, 0.841], [0.000, 0.000, 0.000], [0.682, 0.841, 0.841], [0.318, 0.159, 0.159], [0.000, 0.000, 0.500], [0.667, 0.333, 0.231], [0.667, 0.333, 0.470]],
  "spacegroup": "No. 164",
  "e_form_raw_ev_per_atom": -1.35,
  "crystal_system": "trigonal"
}

# 14
{
  "formula": "HgBPO2",
  "functional": "GGA-PBE",
  "state": "optimized geometry",
  "lattice": [[-1.570, -1.871, 2.385], [-0.180, -2.624, -2.176], [4.704, -1.751, 1.724]],
  "species": ["O", "Hg", "B", "O", "P"],
  "fractional_positions": [[0.500, 0.000, 0.000], [0.500, 0.500, 0.500], [0.000, 0.000, 0.000], [0.000, 0.500, 0.000], [0.000, 0.000, 0.500]],
  "relative_energy_ev_per_fu": 0.000,
  "spacegroup": "No. 123",
  "e_form_raw_ev_per_atom": 0.26,
  "crystal_system": "tetragonal"
}

# 15
{
  "formula": "HgBP2O",
  "functional": "GGA-PBE",
  "state": "optimized geometry",
  "lattice": [[5.551, 0.000, 0.000], [0.000, 5.551, 0.000], [0.000, 0.000, 2.618]],
  "species": ["B", "O", "P", "P", "Hg"],
  "fractional_positions": [[0.000, 0.000, 0.000], [0.000, 0.000, 0.500], [0.000, 0.500, 0.000], [0.500, 0.000, 0.000], [0.500, 0.500, 0.500]],
  "relative_energy_ev_per_fu": 0.000,
  "spacegroup": "No. 123",
  "e_form_raw_ev_per_atom": 0.18,
  "crystal_system": "tetragonal"
}

# 16
{
  "formula": "HgB2PO6",
  "functional": "GGA-PBE",
  "state": "optimized geometry",
  "lattice": [[4.593, 0.192, 0.199], [1.659, 8.022, 0.184], [1.659, -0.113, 8.023]],
  "species": ["O", "O", "P", "O", "P", "B", "O", "O", "O", "Hg", "O", "B", "Hg", "O", "O", "O", "B", "B", "O", "O"],
  "fractional_positions": [[0.386, 0.306, 0.854], [0.210, 0.693, 0.744], [0.750, 0.707, 0.293], [0.010, 0.536, 0.302], [0.250, 0.293, 0.707], [0.974, 0.633, 0.712], [0.114, 0.146, 0.694], [0.990, 0.464, 0.698], [0.886, 0.854, 0.306], [0.250, 0.925, 0.075], [0.510, 0.302, 0.536], [0.474, 0.712, 0.633], [0.750, 0.075, 0.925], [0.790, 0.307, 0.256], [0.614, 0.694, 0.146], [0.710, 0.744, 0.693], [0.526, 0.288, 0.367], [0.026, 0.367, 0.288], [0.490, 0.698, 0.464], [0.290, 0.256, 0.307]],
  "spacegroup": "No. 15",
  "e_form_raw_ev_per_atom": -1.95,
  "crystal_system": "monoclinic"
}

# 17
{
  "formula": "HgBP2O",
  "functional": "GGA-PBE",
  "state": "optimized geometry",
  "lattice": [[-0.768, 4.759, 1.531], [-4.390, 0.099, -2.511], [-1.931, -1.380, 3.322]],
  "species": ["O", "P", "Hg", "P", "B"],
  "fractional_positions": [[0.000, 0.000, 0.500], [0.500, 0.000, 0.000], [0.000, 0.000, 0.000], [0.000, 0.500, 0.000], [0.500, 0.500, 0.500]],
  "relative_energy_ev_per_fu": 8.956,
  "spacegroup": "No. 123",
  "e_form_raw_ev_per_atom": 1.97,
  "crystal_system": "tetragonal"
}

# 18
{
  "formula": "PaHgBO6",
  "functional": "GGA-PBE",
  "state": "optimized geometry",
  "lattice": [[4.842, -0.185, -0.130], [2.312, 5.654, 0.613], [-0.053, 0.752, 5.143]],
  "species": ["O", "O", "Hg", "Pa", "O", "O", "O", "B", "O"],
  "fractional_positions": [[0.338, 0.010, 0.663], [0.349, 0.754, 0.210], [0.982, 0.002, 0.907], [0.674, 0.680, 0.490], [0.896, 0.630, 0.828], [0.582, 0.298, 0.644], [0.758, 0.962, 0.244], [0.337, 0.244, 0.579], [0.085, 0.419, 0.435]],
  "spacegroup": "No. 1",
  "e_form_raw_ev_per_atom": -1.80,
  "crystal_system": "triclinic"
}

# 19
{
  "formula": "PaHgBO5",
  "functional": "GGA-PBE",
  "state": "optimized geometry",
  "lattice": [[-5.346, -1.831, -0.311], [2.508, -4.735, -1.824], [1.919, 1.025, 7.998]],
  "species": ["Pa", "O", "O", "O", "O", "B", "Hg", "B", "O", "O", "O", "O", "Pa", "O", "O", "Hg"],
  "fractional_positions": [[0.000, 0.000, 0.500], [0.726, 0.162, 0.365], [0.744, 0.602, 0.367], [0.102, 0.898, 0.250], [0.398, 0.256, 0.133], [0.320, 0.680, 0.750], [0.347, 0.653, 0.250], [0.680, 0.320, 0.250], [0.256, 0.398, 0.633], [0.838, 0.274, 0.135], [0.602, 0.744, 0.867], [0.162, 0.726, 0.865], [0.000, 0.000, 0.000], [0.898, 0.102, 0.750], [0.274, 0.838, 0.635], [0.653, 0.347, 0.750]],
  "spacegroup": "No. 15",
  "e_form_raw_ev_per_atom": -2.31,
  "crystal_system": "monoclinic"
}

# 20
{
  "formula": "HgB2PbO",
  "functional": "GGA-PBE",
  "state": "optimized geometry",
  "lattice": [[-2.811, -1.652, -3.497], [0.519, -4.050, 1.496], [-3.825, 0.550, 2.815]],
  "species": ["B", "Hg", "B", "Pb", "O"],
  "fractional_positions": [[0.500, 0.000, 0.000], [0.500, 0.500, 0.500], [0.000, 0.000, 0.500], [0.000, 0.000, 0.000], [0.000, 0.500, 0.000]],
  "spacegroup": "No. 123",
  "e_form_raw_ev_per_atom": 1.51,
  "crystal_system": "tetragonal"
}